# 1
Density functional theory data (PBE) for crystalline PuHfCuMo at its relaxed geometry.

a = 4.7333 Å, b = 4.7333 Å, c = 4.7333 Å
α = 60.00°, β = 60.00°, γ = 60.00°
Sites, in units of the cell vectors:
Pu  0.0000  0.0000  0.0000
Hf  0.5000  0.5000  0.5000
Cu  0.7500  0.7500  0.7500
Mo  0.2500  0.2500  0.2500

Results
For the formation energy, the calculation gives 0.4 eV per formula unit. The symmetry is No. 216. The total energy comes out at -9.693 eV/atom.

# 2
Density functional theory data (PBE) for crystalline HfCu2MoRh at its relaxed geometry.

a = 4.5859 Å, b = 4.5859 Å, c = 4.8183 Å
α = 90.00°, β = 90.00°, γ = 90.00°
Sites, in units of the cell vectors:
Hf  0.0000  0.0000  0.0000
Cu  0.0000  0.5000  0.5000
Cu  0.5000  0.0000  0.5000
Mo  0.0000  0.0000  0.5000
Rh  0.5000  0.5000  0.0000

Results
For the formation energy, the calculation gives 6.9 eV per formula unit. The symmetry is No. 123. The total energy comes out at -5.878 eV/atom.

# 3
Density functional theory data (PBE) for crystalline HfScCuMo at its relaxed geometry.

a = 4.6345 Å, b = 4.6345 Å, c = 4.6345 Å
α = 60.00°, β = 60.00°, γ = 60.00°
Sites, in units of the cell vectors:
Hf  0.0000  0.0000  0.0000
Sc  0.5000  0.5000  0.5000
Cu  0.2500  0.2500  0.2500
Mo  0.7500  0.7500  0.7500

Results
For the formation energy, the calculation gives -0.2 eV per formula unit. The symmetry is No. 216. The total energy comes out at -7.853 eV/atom.

# 4
Density functional theory data (PBE) for crystalline HfCuTcMo at its relaxed geometry.

a = 4.4834 Å, b = 4.4834 Å, c = 4.4834 Å
α = 60.00°, β = 60.00°, γ = 60.00°
Sites, in units of the cell vectors:
Hf  0.0000  0.0000  0.0000
Cu  0.2500  0.2500  0.2500
Tc  0.7500  0.7500  0.7500
Mo  0.5000  0.5000  0.5000

Results
For the formation energy, the calculation gives -0.2 eV per formula unit. The symmetry is No. 216. The total energy comes out at -8.851 eV/atom.

# 5
Density functional theory data (PBE) for crystalline HfThCuMo at its relaxed geometry.

a = 4.8648 Å, b = 4.8648 Å, c = 4.8648 Å
α = 60.00°, β = 60.00°, γ = 60.00°
Sites, in units of the cell vectors:
Hf  0.0000  0.0000  0.0000
Th  0.5000  0.5000  0.5000
Cu  0.2500  0.2500  0.2500
Mo  0.7500  0.7500  0.7500

Results
For the formation energy, the calculation gives 0.1 eV per formula unit. The symmetry is No. 216. The total energy comes out at -8.041 eV/atom.

# 6
Density functional theory data (PBE) for crystalline HfTi2CuMo at its relaxed geometry.

a = 4.5542 Å, b = 4.5542 Å, c = 4.8431 Å
α = 90.00°, β = 90.00°, γ = 90.00°
Sites, in units of the cell vectors:
Hf  0.0000  0.0000  0.0000
Ti  0.0000  0.5000  0.5000
Ti  0.5000  0.0000  0.5000
Cu  0.5000  0.5000  0.0000
Mo  0.5000  0.5000  0.5000

Results
For the formation energy, the calculation gives 4.0 eV per formula unit. The symmetry is No. 123. The total energy comes out at -7.333 eV/atom.